(1)
DyBe6Au12 | PBE-GGA | relaxed

Properties
total energy = -3.5848 eV per atom
symmetry = No. 204

Cell lengths 7.3627, 7.3627, 7.3627 Å; angles 109.47, 109.47, 109.47 degrees
Closest atoms and distances in Å follow each position.
Element x y z (fractional)
Dy (0.0000, 0.0000, 0.0000)  12 Au 3.01
Be (0.1282, 0.6282, 0.5000)  1 Be 2.18, 2 Au 2.34
Be (0.3718, 0.5000, 0.8718)  1 Be 2.18, 2 Au 2.34
Be (0.5000, 0.1282, 0.6282)  1 Be 2.18, 2 Au 2.34
Be (0.5000, 0.8718, 0.3718)  1 Be 2.18, 2 Au 2.34
Be (0.8718, 0.3718, 0.5000)  1 Be 2.18, 2 Au 2.34
Be (0.6282, 0.5000, 0.1282)  1 Be 2.18, 2 Au 2.34
Au (0.6911, 0.5179, 0.8269)  3 Be 2.34-2.45
Au (0.8642, 0.1731, 0.6911)  3 Be 2.34-2.45
Au (0.8269, 0.3089, 0.1358)  3 Be 2.34-2.45
Au (0.8269, 0.6911, 0.5179)  3 Be 2.34-2.45
Au (0.1731, 0.3089, 0.4821)  3 Be 2.34-2.45
Au (0.6911, 0.8642, 0.1731)  3 Be 2.34-2.45
Au (0.5179, 0.8269, 0.6911)  3 Be 2.34-2.45
Au (0.3089, 0.1358, 0.8269)  3 Be 2.34-2.45
Au (0.1358, 0.8269, 0.3089)  3 Be 2.34-2.45
Au (0.4821, 0.1731, 0.3089)  3 Be 2.34-2.45
Au (0.3089, 0.4821, 0.1731)  3 Be 2.34-2.45
Au (0.1731, 0.6911, 0.8642)  3 Be 2.34-2.45

---

(2)
Pm2Ga2Ir | PBE-GGA | relaxed

Properties
offset from the most stable computed form = 0.134 eV/atom
total energy = -5.4316 eV per atom
symmetry = No. 36

Cell lengths 4.5078, 7.5842, 7.4914 Å; angles 90.00, 107.51, 90.00 degrees
Closest atoms and distances in Å follow each position.
Element x y z (fractional)
Pm (0.9713, 0.7221, 0.9425)  6 Ga 2.91-3.24, 2 Ir 2.97
Pm (0.7614, 0.3725, 0.5229)  5 Ga 2.91-3.22, 1 Ir 2.99
Pm (0.0287, 0.2221, 0.0575)  6 Ga 2.91-3.24, 2 Ir 2.97
Pm (0.2386, 0.8725, 0.4771)  5 Ga 2.91-3.22, 1 Ir 2.99
Ga (0.1553, 0.5223, 0.3105)  2 Ir 2.51
Ga (0.8447, 0.0223, 0.6895)  2 Ir 2.51
Ga (0.5807, 0.9319, 0.1614)  2 Ir 2.63-2.64
Ga (0.4193, 0.4319, 0.8386)  2 Ir 2.63-2.64
Ir (0.5854, 0.5857, 0.1707)  4 Ga 2.51-2.64
Ir (0.4146, 0.0857, 0.8293)  4 Ga 2.51-2.64

---

(3)
Zn2GeSe2 | PBE-GGA | relaxed

Properties
offset from the most stable computed form = 0.006 eV/atom
total energy = -2.7784 eV per atom
symmetry = No. 139
energy relative to the elements, uncorrected = 0.24 eV per formula unit

Cell lengths 5.0621, 5.0621, 5.4087 Å; angles 62.10, 62.10, 90.00 degrees
Closest atoms and distances in Å follow each position.
Element x y z (fractional)
Ge (0.0000, 0.0000, 0.0000)  2 Zn 2.83
Se (0.2500, 0.7500, 0.5000)  4 Zn 2.66
Se (0.7500, 0.2500, 0.5000)  4 Zn 2.66
Zn (0.3489, 0.3489, 0.3022)  1 Zn 2.45, 4 Se 2.66
Zn (0.6511, 0.6511, 0.6978)  1 Zn 2.45, 4 Se 2.66